Record 1
## Na5V2PC4O16 (PBE with a Hubbard U)

Data for crystalline Na5V2PC4O16 at its relaxed geometry.

CIF file:
```
data_Na5V2PC4O16
_chemical_formula_sum 'Na40 V16 P8 C32 O128'
_space_group_name_H-M_alt 'F d d 2'
_space_group_IT_number 43
_space_group_name_Hall 'F 2 -2d'
_cell_length_a 13.954
_cell_length_b 13.956
_cell_length_c 14.416
_cell_angle_alpha 90.00
_cell_angle_beta 90.00
_cell_angle_gamma 90.00
loop_
_atom_site_label
_atom_site_fract_x
_atom_site_fract_y
_atom_site_fract_z
_atom_site_occupancy
Na1 0.000 0.000 0.000 1
Na2 0.011 0.202 0.800 1
Na3 0.047 0.263 0.051 1
V1 0.123 0.123 0.417 1
P1 0.000 0.000 0.803 1
C1 0.088 0.090 0.207 1
C2 0.090 0.408 0.875 1
O1 0.017 0.106 0.151 1
O2 0.019 0.389 0.931 1
O3 0.064 0.065 0.867 1
O4 0.066 0.434 0.244 1
O5 0.103 0.148 0.276 1
O6 0.103 0.229 0.641 1
O7 0.104 0.270 0.442 1
O8 0.104 0.352 0.805 1
```

Computed properties:
Spin magnetization (μB per cell): 33.5
ρ (Mg/m³): 2.61

=====

Record 2
## CsNaVF6 (PBE with a Hubbard U)

Data for crystalline CsNaVF6 at its relaxed geometry.

CIF file:
```
data_CsNaVF6
_chemical_formula_sum 'Cs1 Na1 V1 F6'
_space_group_name_H-M_alt 'P 1'
_space_group_IT_number 1
_cell_length_a 5.750
_cell_length_b 5.759
_cell_length_c 6.231
_cell_angle_alpha 90.13
_cell_angle_beta 90.24
_cell_angle_gamma 119.12
loop_
_space_group_symop_operation_xyz
'x,y,z'
loop_
_atom_site_label
_atom_site_fract_x
_atom_site_fract_y
_atom_site_fract_z
_atom_site_occupancy
Cs1 0.000 0.000 0.000 1
Na1 0.330 0.672 0.500 1
V1 0.665 0.335 0.500 1
F1 0.404 0.353 0.327 1
F2 0.407 0.060 0.675 1
F3 0.641 0.061 0.323 1
F4 0.647 0.594 0.674 1
F5 0.939 0.594 0.326 1
F6 0.941 0.360 0.677 1
```

Computed properties:
Spin magnetization (μB per cell): 1.0
ρ (Mg/m³): 2.96

=====

| no. | final energy (eV per atom) |
| --- | --- |
| 1 | -6.8796 |
| 2 | -5.1748 |